Record 1
Cs3Bi5Pt2: relaxed, PBE-GGA.

Properties
Its formation energy is -0.227 eV/atom. The calculation puts the density of states at the Fermi level at 4.22 states/eV/f.u. The total energy is -3.631 eV/atom.

a = 10.9216 Å, b = 10.9216 Å, c = 10.9216 Å
α = 117.07°, β = 78.51°, γ = 138.08°
Fractional positions:
1 Cs 0.1360 0.7323 0.8683
2 Cs 0.2500 0.2500 0.0000
3 Cs 0.3640 0.2323 0.5962
4 Cs 0.6360 0.7677 0.4038
5 Cs 0.7500 0.7500 0.0000
6 Cs 0.8640 0.2677 0.1317
7 Bi 0.0166 0.2500 0.7666
8 Bi 0.1294 0.3618 0.4911
9 Bi 0.2500 0.7500 0.5000
10 Bi 0.3706 0.8618 0.2324
11 Bi 0.4834 0.2500 0.2334
12 Bi 0.5166 0.7500 0.7666
13 Bi 0.6294 0.1382 0.7676
14 Bi 0.7500 0.2500 0.5000
15 Bi 0.8706 0.6382 0.5089
16 Bi 0.9834 0.7500 0.2334
17 Pt 0.1627 0.1296 0.2923
18 Pt 0.3373 0.6296 0.9668
19 Pt 0.6627 0.3704 0.0332
20 Pt 0.8373 0.8704 0.7077

=====

Record 2
CsBi2Pt: relaxed, PBE-GGA.

Properties
For the distance to the lowest polymorph of the same formula, the calculation gives 667 meV/atom. Its formation energy is 0.337 eV/atom. The calculation puts the density of states at the Fermi level at 1.96 states/eV/f.u. The total energy is -3.327 eV/atom.

a = 7.7524 Å, b = 7.7524 Å, c = 7.7524 Å
α = 90.00°, β = 90.00°, γ = 90.00°
Fractional positions:
1 Cs 0.0000 0.0000 0.0000
2 Cs 0.0000 0.5000 0.5000
3 Cs 0.5000 0.0000 0.5000
4 Cs 0.5000 0.5000 0.0000
5 Bi 0.2500 0.2500 0.2500
6 Bi 0.2500 0.2500 0.7500
7 Bi 0.2500 0.7500 0.2500
8 Bi 0.2500 0.7500 0.7500
9 Bi 0.7500 0.2500 0.2500
10 Bi 0.7500 0.2500 0.7500
11 Bi 0.7500 0.7500 0.2500
12 Bi 0.7500 0.7500 0.7500
13 Pt 0.0000 0.0000 0.5000
14 Pt 0.0000 0.5000 0.0000
15 Pt 0.5000 0.0000 0.0000
16 Pt 0.5000 0.5000 0.5000

=====

Record 3
CsBi2Pt: relaxed, PBE-GGA.

Properties
For the distance to the lowest polymorph of the same formula, the calculation gives 0 meV/atom. Its formation energy is -0.331 eV/atom. The calculation puts the density of states at the Fermi level at 1.68 states/eV/f.u. The total energy is -3.995 eV/atom.

a = 4.4501 Å, b = 4.4501 Å, c = 24.7444 Å
α = 90.00°, β = 90.00°, γ = 120.00°
Fractional positions:
1 Cs 0.0000 0.0000 0.0000
2 Cs 0.3333 0.6667 0.6667
3 Cs 0.6667 0.3333 0.3333
4 Bi 0.0000 0.0000 0.2148
5 Bi 0.0000 0.0000 0.7852
6 Bi 0.3333 0.6667 0.4519
7 Bi 0.3333 0.6667 0.8815
8 Bi 0.6667 0.3333 0.1185
9 Bi 0.6667 0.3333 0.5481
10 Pt 0.0000 0.0000 0.5000
11 Pt 0.3333 0.6667 0.1667
12 Pt 0.6667 0.3333 0.8333

=====

Record 4
Cs3Bi4Pt2: relaxed, PBE-GGA.

Properties
Its formation energy is -0.345 eV/atom. The calculation puts the density of states at the Fermi level at 3.11 states/eV/f.u. The total energy is -3.696 eV/atom.

a = 7.8376 Å, b = 7.8376 Å, c = 10.9586 Å
α = 101.13°, β = 101.13°, γ = 33.17°
Fractional positions:
1 Cs 0.0000 0.0000 0.0000
2 Cs 0.3773 0.3773 0.6004
3 Cs 0.6227 0.6227 0.3996
4 Bi 0.1018 0.1018 0.6879
5 Bi 0.2847 0.2847 0.9061
6 Bi 0.7153 0.7153 0.0939
7 Bi 0.8982 0.8982 0.3121
8 Pt 0.3251 0.3251 0.1702
9 Pt 0.6749 0.6749 0.8298

=====

Record 5
Cs2BiPt: relaxed, PBE-GGA.

Properties
For the distance to the lowest polymorph of the same formula, the calculation gives 0 meV/atom. Its formation energy is -0.286 eV/atom. The calculation puts the density of states at the Fermi level at 2.63 states/eV/f.u. The total energy is -3.193 eV/atom.

a = 12.0630 Å, b = 7.5165 Å, c = 8.1674 Å
α = 90.00°, β = 90.00°, γ = 90.00°
Fractional positions:
1 Cs 0.1616 0.2231 0.2500
2 Cs 0.1616 0.7769 0.7500
3 Cs 0.3384 0.2769 0.7500
4 Cs 0.3384 0.7231 0.2500
5 Cs 0.6616 0.2769 0.7500
6 Cs 0.6616 0.7231 0.2500
7 Cs 0.8384 0.2231 0.2500
8 Cs 0.8384 0.7769 0.7500
9 Bi 0.0000 0.2715 0.7500
10 Bi 0.0000 0.7285 0.2500
11 Bi 0.5000 0.2285 0.2500
12 Bi 0.5000 0.7715 0.7500
13 Pt 0.0000 0.5000 0.0000
14 Pt 0.0000 0.5000 0.5000
15 Pt 0.5000 0.0000 0.0000
16 Pt 0.5000 0.0000 0.5000

=====

Record 6
CsBi8Pt4: relaxed, PBE-GGA.

Properties
Its formation energy is -0.255 eV/atom. The calculation puts the density of states at the Fermi level at 4.57 states/eV/f.u. The total energy is -4.568 eV/atom.

a = 9.2216 Å, b = 9.2216 Å, c = 12.7351 Å
α = 123.01°, β = 123.01°, γ = 26.98°
Fractional positions:
1 Cs 0.0000 0.0000 0.0000
2 Bi 0.0389 0.0389 0.7433
3 Bi 0.2777 0.2777 0.9133
4 Bi 0.3216 0.3216 0.6422
5 Bi 0.3942 0.3942 0.4250
6 Bi 0.6054 0.6054 0.5759
7 Bi 0.6779 0.6779 0.3587
8 Bi 0.7222 0.7222 0.0880
9 Bi 0.9609 0.9609 0.2565
10 Pt 0.1393 0.1393 0.4659
11 Pt 0.3432 0.3432 0.1726
12 Pt 0.6565 0.6565 0.8288
13 Pt 0.8603 0.8603 0.5351

=====

Record 7
Cs3BiPt: relaxed, PBE-GGA.

Properties
Its formation energy is 0.105 eV/atom. The calculation puts the density of states at the Fermi level at 5.46 states/eV/f.u. The total energy is -2.391 eV/atom.

a = 6.5220 Å, b = 6.5220 Å, c = 6.5220 Å
α = 90.00°, β = 90.00°, γ = 90.00°
Fractional positions:
1 Cs 0.0000 0.0000 0.5000
2 Cs 0.0000 0.5000 0.0000
3 Cs 0.5000 0.0000 0.0000
4 Bi 0.5000 0.5000 0.5000
5 Pt 0.0000 0.0000 0.0000

=====

Record 8
Cs2Bi3Pt2: relaxed, PBE-GGA.

Properties
Its formation energy is -0.262 eV/atom. The calculation puts the density of states at the Fermi level at 2.03 states/eV/f.u. The total energy is -3.895 eV/atom.

a = 13.7019 Å, b = 4.6436 Å, c = 9.0308 Å
α = 90.00°, β = 121.77°, γ = 90.00°
Fractional positions:
1 Cs 0.1477 0.0000 0.2877
2 Cs 0.3523 0.5000 0.7123
3 Cs 0.6477 0.5000 0.2877
4 Cs 0.8523 0.0000 0.7123
5 Bi 0.0000 0.5000 0.5000
6 Bi 0.1431 0.5000 0.9329
7 Bi 0.3569 0.0000 0.0671
8 Bi 0.5000 0.0000 0.5000
9 Bi 0.6431 0.0000 0.9329
10 Bi 0.8569 0.5000 0.0671
11 Pt 0.1375 0.0000 0.7622
12 Pt 0.3625 0.5000 0.2378
13 Pt 0.6375 0.5000 0.7622
14 Pt 0.8625 0.0000 0.2378

=====

Record 9
Cs5Bi4Pt2: relaxed, PBE-GGA.

Properties
Its formation energy is -0.165 eV/atom. The calculation puts the density of states at the Fermi level at 3.69 states/eV/f.u. The total energy is -3.063 eV/atom.

a = 12.5057 Å, b = 12.5057 Å, c = 10.8749 Å
α = 115.77°, β = 115.77°, γ = 18.16°
Fractional positions:
1 Cs 0.0000 0.0000 0.0000
2 Cs 0.3380 0.3380 0.0511
3 Cs 0.3380 0.3380 0.6258
4 Cs 0.6620 0.6620 0.3742
5 Cs 0.6620 0.6620 0.9489
6 Bi 0.1883 0.1883 0.6879
7 Bi 0.5001 0.5001 0.3528
8 Bi 0.4999 0.4999 0.6472
9 Bi 0.8117 0.8117 0.3121
10 Pt 0.0634 0.0634 0.5634
11 Pt 0.9366 0.9366 0.4366

=====

Record 10
Cs2BiPt: relaxed, PBE-GGA.

Properties
For the distance to the lowest polymorph of the same formula, the calculation gives 737 meV/atom. Its formation energy is 0.451 eV/atom. The calculation puts the density of states at the Fermi level at 3.80 states/eV/f.u. The total energy is -2.456 eV/atom.

a = 8.7684 Å, b = 8.7684 Å, c = 8.7684 Å
α = 90.00°, β = 90.00°, γ = 90.00°
Fractional positions:
1 Cs 0.2500 0.2500 0.2500
2 Cs 0.2500 0.2500 0.7500
3 Cs 0.2500 0.7500 0.2500
4 Cs 0.2500 0.7500 0.7500
5 Cs 0.7500 0.2500 0.2500
6 Cs 0.7500 0.2500 0.7500
7 Cs 0.7500 0.7500 0.2500
8 Cs 0.7500 0.7500 0.7500
9 Bi 0.0000 0.0000 0.0000
10 Bi 0.0000 0.5000 0.5000
11 Bi 0.5000 0.0000 0.5000
12 Bi 0.5000 0.5000 0.0000
13 Pt 0.0000 0.0000 0.5000
14 Pt 0.0000 0.5000 0.0000
15 Pt 0.5000 0.0000 0.0000
16 Pt 0.5000 0.5000 0.5000

=====

Record 11
CsBiPt2: relaxed, PBE-GGA.

Properties
Its formation energy is -0.164 eV/atom. The calculation puts the density of states at the Fermi level at 1.15 states/eV/f.u. The total energy is -4.368 eV/atom.

a = 4.8373 Å, b = 4.8373 Å, c = 19.6463 Å
α = 90.00°, β = 90.00°, γ = 120.00°
Fractional positions:
1 Cs 0.0000 0.0000 0.0000
2 Cs 0.3333 0.6667 0.6667
3 Cs 0.6667 0.3333 0.3333
4 Bi 0.0000 0.0000 0.5000
5 Bi 0.3333 0.6667 0.1667
6 Bi 0.6667 0.3333 0.8333
7 Pt 0.0000 0.0000 0.1816
8 Pt 0.0000 0.0000 0.8184
9 Pt 0.3333 0.6667 0.4851
10 Pt 0.3333 0.6667 0.8482
11 Pt 0.6667 0.3333 0.1518
12 Pt 0.6667 0.3333 0.5149

=====

Record 12
Cs2RbBi2Pt: relaxed, PBE-GGA.

Properties
Its formation energy is -0.288 eV/atom. The calculation puts the density of states at the Fermi level at 2.74 states/eV/f.u. The total energy is -3.034 eV/atom.

a = 9.9782 Å, b = 9.9782 Å, c = 9.9782 Å
α = 120.50°, β = 78.44°, γ = 133.86°
Fractional positions:
1 Cs 0.1936 0.1459 0.3395
2 Cs 0.3064 0.6459 0.9523
3 Cs 0.6936 0.3541 0.0477
4 Cs 0.8064 0.8541 0.6605
5 Rb 0.2500 0.7500 0.5000
6 Rb 0.7500 0.2500 0.5000
7 Bi 0.0507 0.8179 0.8686
8 Bi 0.4493 0.3179 0.7672
9 Bi 0.5507 0.6821 0.2328
10 Bi 0.9493 0.1821 0.1314
11 Pt 0.2500 0.2500 0.0000
12 Pt 0.7500 0.7500 0.0000